Record 1
Computed, not measured: an optimized crystal structure of InSnAu at the PBE level of DFT.

Structure (POSCAR):
```
InSnAu
1.0
4.372 0.000 0.000
1.846 5.001 0.000
2.070 0.797 6.729
In Sn Au
2 2 2
Direct
0.091 0.194 0.125
0.909 0.806 0.875
0.302 0.269 0.572
0.698 0.731 0.428
0.376 0.605 0.188
0.624 0.395 0.812
```

Properties
SG ... P-1
Density ... 9.72 Mg/m³
Energy of formation ... -0.13 eV/atom

=====

Record 2
Computed, not measured: an optimized crystal structure of CaYTl2 at the PBE level of DFT.

Structure (POSCAR):
```
CaYTl2
1.0
5.356 0.000 0.000
0.000 3.782 0.000
-2.614 0.000 6.001
Ca Y Tl
1 1 2
Direct
0.000 0.000 0.000
0.500 0.500 0.500
0.000 0.000 0.500
0.500 0.500 0.000
```

Properties
SG ... P2/m
Density ... 7.35 Mg/m³
Energy of formation ... -0.29 eV/atom